SrMo3: relaxed, GGA-PBE.

Cell lengths 4.8978, 4.8978, 3.0990 Å; angles 90.00, 90.00, 90.00 degrees
Positions (direct):
Sr: 0.0000 0.0000 0.0000
Mo: 0.0000 0.5000 0.5000
Mo: 0.5000 0.0000 0.5000
Mo: 0.5000 0.5000 0.0000

**Formation enthalpy at 0 K**: 1.18 eV/atom
**VASP energy**: -7.37 eV/atom
**SG**: P4/mmm (123)
**Crystal system**: tetragonal